w:
## KMoCl2 (PBE)

Data for a relaxed KMoCl2 crystal.

The space group is Pmmm (No. 47) and the conventional cell measures 3.677, 3.754 and 6.967 Å, with angles of 90.00, 90.00 and 90.00 degrees. The distinct sites, in fractional coordinates, are K at (0.000, 0.000, 0.000), Mo at (0.500, 0.000, 0.500) and Cl at (0.500, 0.500, 0.259).



x:
## KMoCl2 (PBE)

Data for a relaxed KMoCl2 crystal.

The space group is P4/mmm (No. 123) and the conventional cell measures 5.252, 5.252 and 3.828 Å, with angles of 90.00, 90.00 and 90.00 degrees. The distinct sites, in fractional coordinates, are K at (0.000, 0.000, 0.000), Mo at (0.500, 0.500, 0.500) and Cl at (0.000, 0.500, 0.500).



y:
## KMoCl2 (PBE)

Data for a relaxed KMoCl2 crystal.

The space group is Pmmm (No. 47) and the conventional cell measures 3.667, 4.680 and 6.065 Å, with angles of 90.00, 90.00 and 90.00 degrees. The distinct sites, in fractional coordinates, are K at (0.000, 0.000, 0.000), Mo at (0.000, 0.500, 0.500), Cl at (0.500, 0.000, 0.500) and Cl at (0.500, 0.500, 0.000).



It comes down to x, which is 3.5 kJ/mol of atoms more stable than the next structure.



w:
## KMoCl (PBE)

Data for a relaxed KMoCl crystal.

The space group is F-43m (No. 216) and the conventional cell measures 7.833, 7.833 and 7.833 Å, with angles of 90.00, 90.00 and 90.00 degrees. The distinct sites, in fractional coordinates, are K at (0.000, 0.000, 0.000), Mo at (0.250, 0.250, 0.750) and Cl at (0.250, 0.250, 0.250).



x:
## KMoCl (PBE)

Data for a relaxed KMoCl crystal.

The space group is Fmm2 (No. 42) and the conventional cell measures 3.319, 5.259 and 14.790 Å, with angles of 90.00, 90.00 and 90.00 degrees. The distinct sites, in fractional coordinates, are K at (0.000, 0.000, 0.000), Mo at (0.000, 0.000, 0.702) and Cl at (0.000, 0.000, 0.332).



y:
## KMoCl (PBE)

Data for a relaxed KMoCl crystal.

The space group is F-43m (No. 216) and the conventional cell measures 7.527, 7.527 and 7.527 Å, with angles of 90.00, 90.00 and 90.00 degrees. The distinct sites, in fractional coordinates, are K at (0.000, 0.000, 0.000), Mo at (0.000, 0.000, 0.500) and Cl at (0.250, 0.250, 0.750).



It comes down to x, which is 23.8 kJ/mol of atoms more stable than the next structure.



w:
## KMoCl (PBE)

Data for a relaxed KMoCl crystal.

The space group is I4mm (No. 107) and the conventional cell measures 3.522, 3.522 and 13.685 Å, with angles of 90.00, 90.00 and 90.00 degrees. The distinct sites, in fractional coordinates, are K at (0.000, 0.000, 0.000), Mo at (0.000, 0.000, 0.716) and Cl at (0.000, 0.000, 0.360).



x:
## KMoCl (PBE)

Data for a relaxed KMoCl crystal.

The space group is P3m1 (No. 156) and the conventional cell measures 3.2991, 3.2991 and 7.1292 Å, with angles of 90.00, 90.00 and 120.00 degrees. The distinct sites, in fractional coordinates, are K at (0.0000, 0.0000, 0.0000), Mo at (0.6667, 0.3333, 0.4116) and Cl at (0.3333, 0.6667, 0.6289).



It comes down to x, which is 18.2 kJ/mol of atoms more stable than the next structure.



w:
## KMoP2Cl (PBE)

Data for a relaxed KMoP2Cl crystal.

The space group is P4/mmm (No. 123) and the conventional cell measures 4.659, 4.659 and 5.488 Å, with angles of 90.00, 90.00 and 90.00 degrees. The distinct sites, in fractional coordinates, are K at (0.000, 0.000, 0.000), Mo at (0.500, 0.500, 0.500), P at (0.000, 0.500, 0.500) and Cl at (0.500, 0.500, 0.000).



x:
## KMoP2Cl (PBE)

Data for a relaxed KMoP2Cl crystal.

The space group is P4/mmm (No. 123) and the conventional cell measures 5.149, 5.149 and 5.084 Å, with angles of 90.00, 90.00 and 90.00 degrees. The distinct sites, in fractional coordinates, are K at (0.000, 0.000, 0.000), Mo at (0.500, 0.500, 0.500), P at (0.000, 0.500, 0.000) and Cl at (0.000, 0.000, 0.500).



It comes down to w, which is 233.4 kJ/mol of atoms more stable than the next structure.



w:
## KP2NCl (PBE)

Data for a relaxed KP2NCl crystal.

The space group is P4/mmm (No. 123) and the conventional cell measures 7.573, 7.573 and 5.754 Å, with angles of 90.00, 90.00 and 90.00 degrees. The distinct sites, in fractional coordinates, are K at (0.000, 0.000, 0.000), P at (0.000, 0.500, 0.000), N at (0.500, 0.500, 0.500) and Cl at (0.000, 0.000, 0.500).



x:
## KP2NCl (PBE)

Data for a relaxed KP2NCl crystal.

The space group is P4/mmm (No. 123) and the conventional cell measures 3.963, 3.963 and 8.244 Å, with angles of 90.00, 90.00 and 90.00 degrees. The distinct sites, in fractional coordinates, are K at (0.000, 0.000, 0.000), P at (0.000, 0.500, 0.500), N at (0.500, 0.500, 0.500) and Cl at (0.500, 0.500, 0.000).



It comes down to x, which is 149.1 kJ/mol of atoms more stable than the next structure.



w:
## KPNCl2 (PBE)

Data for a relaxed KPNCl2 crystal.

The space group is P4/mmm (No. 123) and the conventional cell measures 6.043, 6.043 and 7.419 Å, with angles of 90.00, 90.00 and 90.00 degrees. The distinct sites, in fractional coordinates, are K at (0.000, 0.000, 0.000), P at (0.000, 0.000, 0.500), N at (0.500, 0.500, 0.500) and Cl at (0.000, 0.500, 0.000).



x:
## KPNCl2 (PBE)

Data for a relaxed KPNCl2 crystal.

The space group is P4/mmm (No. 123) and the conventional cell measures 6.164, 6.164 and 3.298 Å, with angles of 90.00, 90.00 and 90.00 degrees. The distinct sites, in fractional coordinates, are K at (0.000, 0.000, 0.000), P at (0.500, 0.500, 0.000), N at (0.500, 0.500, 0.500) and Cl at (0.000, 0.500, 0.500).



It comes down to x, which is 127.3 kJ/mol of atoms more stable than the next structure.



w:
## KSN2Cl (PBE)

Data for a relaxed KSN2Cl crystal.

The space group is P4/mmm (No. 123) and the conventional cell measures 5.462, 5.462 and 6.134 Å, with angles of 90.00, 90.00 and 90.00 degrees. The distinct sites, in fractional coordinates, are K at (0.000, 0.000, 0.000), S at (0.000, 0.000, 0.500), N at (0.000, 0.500, 0.000) and Cl at (0.500, 0.500, 0.500).



x:
## KSN2Cl (PBE)

Data for a relaxed KSN2Cl crystal.

The space group is P4/mmm (No. 123) and the conventional cell measures 4.643, 4.643 and 4.804 Å, with angles of 90.00, 90.00 and 90.00 degrees. The distinct sites, in fractional coordinates, are K at (0.000, 0.000, 0.000), S at (0.500, 0.500, 0.000), N at (0.000, 0.500, 0.500) and Cl at (0.500, 0.500, 0.500).



It comes down to x, which is 34.8 kJ/mol of atoms more stable than the next structure.



w:
## KSeN2Cl (PBE)

Data for a relaxed KSeN2Cl crystal.

The space group is P4/mmm (No. 123) and the conventional cell measures 4.434, 4.434 and 5.330 Å, with angles of 90.00, 90.00 and 90.00 degrees. The distinct sites, in fractional coordinates, are K at (0.000, 0.000, 0.000), Se at (0.500, 0.500, 0.000), N at (0.000, 0.500, 0.500) and Cl at (0.500, 0.500, 0.500).



x:
## KSeN2Cl (PBE)

Data for a relaxed KSeN2Cl crystal.

The space group is P4/mmm (No. 123) and the conventional cell measures 5.147, 5.147 and 6.422 Å, with angles of 90.00, 90.00 and 90.00 degrees. The distinct sites, in fractional coordinates, are K at (0.000, 0.000, 0.000), Se at (0.000, 0.000, 0.500), N at (0.000, 0.500, 0.000) and Cl at (0.500, 0.500, 0.500).



It comes down to w, which is 34.0 kJ/mol of atoms more stable than the next structure.